VASP calculation (GGA-PBE) on a geometry-optimized NdHo6Ga3 structure.

Results
Theoretical density in g/cm³: 8.0
Crystal system: orthorhombic
Formation enthalpy at 0 K in eV per formula unit: -3.1

```
data_NdHo6Ga3
_chemical_formula_sum 'Nd4 Ho24 Ga12'
_space_group_name_H-M_alt 'C m c 21'
_space_group_IT_number 36
_cell_length_a 10.6589
_cell_length_b 12.6990
_cell_length_c 8.2716
_cell_angle_alpha 90.00
_cell_angle_beta 90.00
_cell_angle_gamma 90.00
loop_
_space_group_symop_operation_xyz
'x,y,z'
'-x,-y,z+1/2'
'-x,y,z'
'x,-y,z+1/2'
'x+1/2,y+1/2,z'
'-x+1/2,-y+1/2,z+1/2'
'-x+1/2,y+1/2,z'
'x+1/2,-y+1/2,z+1/2'
loop_
_atom_site_label
_atom_site_type_symbol
_atom_site_fract_x
_atom_site_fract_y
_atom_site_fract_z
Nd1 Nd 0.0000 0.1717 0.0000
Ho1 Ho 0.0000 0.2768 0.4846
Ho2 Ho 0.0000 0.4666 0.1597
Ho3 Ho 0.1666 0.0670 0.6368
Ho4 Ho 0.2336 0.3234 0.7778
Ga1 Ga 0.0000 0.0706 0.3356
Ga2 Ga 0.2008 0.4199 0.4385
```

---

VASP calculation (GGA-PBE) on a geometry-optimized Na4GaI5 structure.

Results
Theoretical density in g/cm³: 3.8
Crystal system: monoclinic
ΔE_f (raw) in eV/atom: -1.07

```
data_Na4GaI5
_chemical_formula_sum 'Na8 Ga2 I10'
_space_group_name_H-M_alt 'C 1 2/m 1'
_space_group_IT_number 12
_cell_length_a 15.3774
_cell_length_b 4.6288
_cell_length_c 11.3656
_cell_angle_alpha 90.00
_cell_angle_beta 119.52
_cell_angle_gamma 90.00
loop_
_space_group_symop_operation_xyz
'x,y,z'
'-x,-y,-z'
'-x,y,-z'
'x,-y,z'
'x+1/2,y+1/2,z'
'-x+1/2,-y+1/2,-z'
'-x+1/2,y+1/2,-z'
'x+1/2,-y+1/2,z'
loop_
_atom_site_label
_atom_site_type_symbol
_atom_site_fract_x
_atom_site_fract_y
_atom_site_fract_z
Na1 Na 0.0978 0.0000 0.3987
Na2 Na 0.2019 0.5000 0.7980
Ga1 Ga 0.0000 0.5000 0.0000
I1 I 0.0000 0.5000 0.5000
I2 I 0.1032 0.0000 0.8974
I3 I 0.2014 0.5000 0.3046
```

---

VASP calculation (GGA-PBE) on a geometry-optimized Ba3Cd9Hg2 structure.

Results
Theoretical density in g/cm³: 7.5
Crystal system: orthorhombic
Formation enthalpy at 0 K in eV per formula unit: -4.1

```
data_Ba3Cd9Hg2
_chemical_formula_sum 'Ba6 Cd18 Hg4'
_space_group_name_H-M_alt 'I m m m'
_space_group_IT_number 71
_space_group_name_Hall '-I 2 2'
_cell_length_a 5.1951
_cell_length_b 10.3076
_cell_length_c 15.1534
_cell_angle_alpha 90.00
_cell_angle_beta 90.00
_cell_angle_gamma 90.00
loop_
_atom_site_label
_atom_site_type_symbol
_atom_site_fract_x
_atom_site_fract_y
_atom_site_fract_z
Ba1 Ba 0.0000 0.0000 0.0000
Ba2 Ba 0.0000 0.0000 0.3030
Cd1 Cd 0.0000 0.2862 0.1369
Cd2 Cd 0.0000 0.3581 0.3343
Cd3 Cd 0.0000 0.5000 0.0000
Hg1 Hg 0.0000 0.2008 0.5000
```

---

VASP calculation (GGA-PBE) on a geometry-optimized SrBi2F11 structure.

Results
Theoretical density in g/cm³: 4.8
Crystal system: orthorhombic
ΔE_f (raw) in eV/atom: -2.36

```
data_SrBi2F11
_chemical_formula_sum 'Sr4 Bi8 F44'
_space_group_name_H-M_alt 'I b a m'
_space_group_IT_number 72
_space_group_name_Hall '-I 2 2c'
_cell_length_a 8.2416
_cell_length_b 10.4963
_cell_length_c 11.5051
_cell_angle_alpha 90.00
_cell_angle_beta 90.00
_cell_angle_gamma 90.00
loop_
_atom_site_label
_atom_site_type_symbol
_atom_site_fract_x
_atom_site_fract_y
_atom_site_fract_z
Sr1 Sr 0.0000 0.0000 0.2500
Bi1 Bi 0.1402 0.3194 0.0000
F1 F 0.0000 0.5000 0.0000
F2 F 0.1022 0.1884 0.1355
F3 F 0.1300 0.2838 0.5000
F4 F 0.2391 0.0732 0.3719
```

---

VASP calculation (GGA-PBE) on a geometry-optimized NaCaGdHg structure.

Results
Theoretical density in g/cm³: 6.1
Crystal system: cubic
Formation enthalpy at 0 K in eV per formula unit: -0.6

```
data_NaCaGdHg
_chemical_formula_sum 'Na4 Ca4 Gd4 Hg4'
_space_group_name_H-M_alt 'F -4 3 m'
_space_group_IT_number 216
_space_group_name_Hall 'F -4 2 3'
_cell_length_a 7.7073
_cell_length_b 7.7073
_cell_length_c 7.7073
_cell_angle_alpha 90.00
_cell_angle_beta 90.00
_cell_angle_gamma 90.00
loop_
_atom_site_label
_atom_site_type_symbol
_atom_site_fract_x
_atom_site_fract_y
_atom_site_fract_z
Na1 Na 0.0000 0.0000 0.0000
Ca1 Ca 0.2500 0.2500 0.7500
Gd1 Gd 0.2500 0.2500 0.2500
Hg1 Hg 0.0000 0.0000 0.5000
```

---

VASP calculation (GGA-PBE) on a geometry-optimized ScIrSCl2 structure.

Results
Theoretical density in g/cm³: 4.7
Crystal system: tetragonal
ΔE_f (raw) in eV/atom: -0.04

```
data_ScIrSCl2
_chemical_formula_sum 'Sc1 Ir1 S1 Cl2'
_space_group_name_H-M_alt 'P 4/m m m'
_space_group_IT_number 123
_space_group_name_Hall '-P 4 2'
_cell_length_a 4.8100
_cell_length_b 4.8100
_cell_length_c 5.1768
_cell_angle_alpha 90.00
_cell_angle_beta 90.00
_cell_angle_gamma 90.00
loop_
_atom_site_label
_atom_site_type_symbol
_atom_site_fract_x
_atom_site_fract_y
_atom_site_fract_z
Sc1 Sc 0.0000 0.0000 0.0000
Ir1 Ir 0.5000 0.5000 0.5000
S1 S 0.0000 0.0000 0.5000
Cl1 Cl 0.0000 0.5000 0.0000
```

---

VASP calculation (GGA-PBE) on a geometry-optimized Na6Ca structure.

Results
Theoretical density in g/cm³: 1.0
Crystal system: tetragonal
Formation enthalpy at 0 K in eV per formula unit: 0.6

```
data_Na6Ca
_chemical_formula_sum 'Na6 Ca1'
_space_group_name_H-M_alt 'P 4/m m m'
_space_group_IT_number 123
_space_group_name_Hall '-P 4 2'
_cell_length_a 5.1963
_cell_length_b 5.1963
_cell_length_c 10.4769
_cell_angle_alpha 90.00
_cell_angle_beta 90.00
_cell_angle_gamma 90.00
loop_
_atom_site_label
_atom_site_type_symbol
_atom_site_fract_x
_atom_site_fract_y
_atom_site_fract_z
Na1 Na 0.0000 0.0000 0.0000
Na2 Na 0.0000 0.5000 0.2324
Na3 Na 0.5000 0.5000 0.5000
Ca1 Ca 0.0000 0.0000 0.5000
```